[1]
A relaxed structure of RbTlPb. Source: Alexandria via LeMat-Bulk, functional PBE.

abc: 5.021 5.286 9.135
angles: 90.00 90.08 90.00
Fractional coordinates of all 6 atoms:
Rb1 0.000 0.000 0.000
Rb2 0.498 0.500 0.331
Tl1 0.499 0.000 0.668
Tl2 0.998 0.000 0.438
Pb1 0.500 0.500 0.879
Pb2 0.999 0.500 0.661

Results
For the electronic total energy, the calculation gives -14.95 eV/cell. As for the energy of formation from the pure elements: -144 meV per atom. As for the magnetic moment: 0.000 Bohr magnetons per cell.

=====

[2]
A relaxed structure of OsRh2Br. Source: Alexandria via LeMat-Bulk, functional PBE.

abc: 2.771 4.884 9.491
angles: 90.00 90.00 90.00
Fractional coordinates of all 8 atoms:
Os1 0.000 0.000 0.000
Os2 0.500 0.500 0.000
Rh1 0.000 0.000 0.523
Rh2 0.000 0.500 0.767
Rh3 0.500 0.000 0.767
Rh4 0.500 0.500 0.523
Br1 0.000 0.500 0.279
Br2 0.500 0.000 0.279

Results
For the electronic total energy, the calculation gives -48.51 eV/cell. As for the formation energy without anion corrections: 81 kJ/mol of atoms. As for the magnetic moment: 0.000 Bohr magnetons per cell.

=====

[3]
A relaxed structure of SmHoEr. Source: Alexandria via LeMat-Bulk, functional PBE.

abc: 11.087 5.856 5.899
angles: 90.00 90.04 90.00
Fractional coordinates of all 12 atoms:
Sm1 0.249 0.000 0.273
Sm2 0.251 0.500 0.727
Sm3 0.749 0.500 0.273
Sm4 0.751 0.000 0.727
Ho1 0.080 0.500 0.240
Ho2 0.420 0.000 0.760
Ho3 0.580 0.000 0.240
Ho4 0.920 0.500 0.760
Er1 0.080 0.000 0.760
Er2 0.420 0.500 0.240
Er3 0.580 0.500 0.760
Er4 0.920 0.000 0.240

Results
For the electronic total energy, the calculation gives -54.00 eV/cell. As for the energy of formation from the pure elements: 120 meV per atom. As for the magnetic moment: 0.000 Bohr magnetons per cell.

=====

[4]
A relaxed structure of Tb2Cd3Pd2. Source: Alexandria via LeMat-Bulk, functional PBE.

abc: 10.233 3.957 7.778
angles: 90.00 94.55 90.00
Fractional coordinates of all 14 atoms:
Tb1 0.122 0.000 0.350
Tb2 0.378 0.500 0.650
Tb3 0.622 0.500 0.350
Tb4 0.878 0.000 0.650
Cd1 0.000 0.500 0.000
Cd2 0.191 0.000 0.870
Cd3 0.309 0.500 0.130
Cd4 0.500 0.000 0.000
Cd5 0.691 0.500 0.870
Cd6 0.809 0.000 0.130
Pd1 0.094 0.500 0.637
Pd2 0.406 0.000 0.363
Pd3 0.594 0.000 0.637
Pd4 0.906 0.500 0.363

Results
For the electronic total energy, the calculation gives -52.77 eV/cell. As for the energy of formation from the pure elements: -570 meV per atom. As for the magnetic moment: 0.000 Bohr magnetons per cell.

=====

- Number 2 is which compound?
  OsRh2Br